{"formula": "NiCO2F", "functional": "PBE with a Hubbard U", "state": "relaxed", "cell": [[3.761, 0.000, 0.000], [0.000, 3.761, 0.000], [0.000, 0.000, 3.703]], "species": ["Ni", "C", "O", "O", "F"], "fractional_positions": [[0.000, 0.000, 0.000], [0.500, 0.500, 0.500], [0.000, 0.500, 0.000], [0.500, 0.000, 0.000], [0.000, 0.000, 0.500]], "dft_energy_ev_per_atom": -3.7878, "n_ef_per_ev_atom": 0.32}